1.
Computed, not measured: a relaxed structure of K3Pr2YTe6 at the PBE level of DFT.

abc: 7.9663 7.9663 8.6742
angles: 98.81 98.81 120.01
With the nearest neighbours (Å) after each atom.
Fractional coordinates of all 12 atoms:
K 0.0000 0.0000 0.0000  6 Te 3.53-3.61
K 0.3311 0.6689 0.0000  6 Te 3.53-3.59
K 0.6689 0.3311 0.0000  6 Te 3.53-3.59
Pr 0.1663 0.8337 0.5000  6 Te 3.22
Pr 0.8337 0.1663 0.5000  6 Te 3.22
Y 0.5000 0.5000 0.5000  6 Te 3.13
Te 0.1041 0.4290 0.2866  1 Y 3.13, 2 Pr 3.22
Te 0.2468 0.2468 0.7140  1 Y 3.13, 2 Pr 3.22
Te 0.4290 0.1041 0.2866  1 Y 3.13, 2 Pr 3.22
Te 0.5710 0.8959 0.7134  1 Y 3.13, 2 Pr 3.22
Te 0.7532 0.7532 0.2860  1 Y 3.13, 2 Pr 3.22
Te 0.8959 0.5710 0.7134  1 Y 3.13, 2 Pr 3.22

The formation energy from raw total energies comes out at -1415.2 meV per atom. The crystal system is monoclinic. The space group is C2/m. The calculated volume is 37.8 Å³ per atom.



2.
Computed, not measured: a relaxed structure of K3Pr3YTe8 at the PBE level of DFT.

abc: 9.0798 9.0798 9.9875
angles: 117.05 117.05 59.96
With the nearest neighbours (Å) after each atom.
Fractional coordinates of all 15 atoms:
K 0.0000 0.0000 0.0000  6 Te 3.56-3.57
K 0.0000 0.5000 0.0000  6 Te 3.55-3.57
K 0.5000 0.0000 0.0000  6 Te 3.55-3.57
Pr 0.0000 0.5000 0.5000  6 Te 3.20-3.21
Pr 0.5000 0.0000 0.5000  6 Te 3.20-3.21
Pr 0.5000 0.5000 0.5000  6 Te 3.20-3.21
Y 0.0000 0.0000 0.5000  6 Te 3.12
Te 0.2328 0.2328 0.7106  1 Y 3.12, 2 Pr 3.20
Te 0.2328 0.7450 0.7106  1 Y 3.12, 2 Pr 3.20
Te 0.2550 0.7672 0.2894  1 Y 3.12, 2 Pr 3.20
Te 0.2608 0.2608 0.2826  3 Pr 3.21, 3 K 3.55-3.56
Te 0.7392 0.7392 0.7174  3 Pr 3.21, 3 K 3.55-3.56
Te 0.7450 0.2328 0.7106  1 Y 3.12, 2 Pr 3.20
Te 0.7672 0.2550 0.2894  1 Y 3.12, 2 Pr 3.20
Te 0.7672 0.7672 0.2894  1 Y 3.12, 2 Pr 3.20

The formation energy from raw total energies comes out at -1328.4 meV per atom. The density of states at the Fermi level is 0.572 states/eV/atom. The crystal system is monoclinic. The space group is C2/m. The calculated volume is 40.4 Å³ per atom.



3.
Computed, not measured: a relaxed structure of KPr2YTe4 at the PBE level of DFT.

abc: 7.9225 4.4986 7.9488
angles: 90.00 108.53 90.00
With the nearest neighbours (Å) after each atom.
Fractional coordinates of all 8 atoms:
K 0.0000 0.0000 0.0000  6 Te 3.26-3.29
Pr 0.5000 0.0000 0.5000  6 Te 3.17-3.19
Pr 0.5000 0.5000 0.0000  6 Te 3.28-3.29
Y 0.0000 0.5000 0.5000  6 Te 3.16-3.17
Te 0.2435 0.0000 0.7383  2 Y 3.17, 3 Pr 3.19-3.29, 1 K 3.26
Te 0.2542 0.5000 0.2636  1 Y 3.16, 3 Pr 3.17-3.28, 2 K 3.29
Te 0.7458 0.5000 0.7364  1 Y 3.16, 3 Pr 3.17-3.28, 2 K 3.29
Te 0.7565 0.0000 0.2617  2 Y 3.17, 3 Pr 3.19-3.29, 1 K 3.26

The formation energy from raw total energies comes out at -1362.9 meV per atom. The density of states at the Fermi level is 0.424 states/eV/atom. The crystal system is monoclinic. The space group is P2/m. The calculated volume is 33.6 Å³ per atom.



| no. | electronic total energy (eV/cell) |
| --- | --- |
| 1 | -55.1 |
| 2 | -69.2 |
| 3 | -40.6 |